# 1
A geometry-optimized Hf2Os2I structure, computed with PBE.

Values from the calculation:
Formation energy without anion corrections (eV per atom): 0.241

Lattice parameters (Å, degrees): 4.551 4.551 6.272 68.73 68.73 90.00
Fractional positions:
Hf (0.250, 0.750, 0.500)
Os (0.382, 0.382, 0.237)
Os (0.618, 0.618, 0.763)
Hf (0.750, 0.250, 0.500)
I (0.000, 0.000, 0.000)

***

# 2
A geometry-optimized MgTl2Te structure, computed with PBE.

Values from the calculation:
Formation energy without anion corrections (eV per atom): -0.058

Lattice parameters (Å, degrees): 5.109 3.338 7.687 63.79 90.00 90.00
Fractional positions:
Tl (0.000, 0.994, 0.011)
Tl (0.000, 0.506, 0.489)
Te (0.500, 0.750, 0.750)
Mg (0.500, 0.250, 0.250)

***

# 3
A geometry-optimized La2ScZnH structure, computed with PBE.

Values from the calculation:
Total energy (eV per atom): -4.332

Lattice parameters (Å, degrees): 5.005 5.005 4.531 90.00 90.00 90.00
Fractional positions:
La (0.000, 0.500, 0.000)
Zn (0.500, 0.500, 0.500)
H (0.000, 0.000, 0.000)
Sc (0.000, 0.000, 0.500)
La (0.500, 0.000, 0.000)

***

# 4
A geometry-optimized Pm2Ho5Er2 structure, computed with PBE.

Values from the calculation:
Energy of formation (eV/atom): 0.22

Lattice parameters (Å, degrees): 11.707 6.706 10.039 109.51 125.67 90.00
Fractional positions:
Ho (0.202, 0.656, 0.895)
Pm (0.124, 0.685, 0.254)
Ho (0.807, 0.261, 0.105)
Ho (0.621, 0.743, 0.714)
Er (0.500, 0.513, 0.000)
Er (0.262, 0.359, 0.500)
Er (0.000, 0.013, 0.000)
Pm (0.876, 0.431, 0.746)
Ho (0.001, 0.659, 0.500)
Ho (0.407, 0.529, 0.286)
Ho (0.379, 0.029, 0.286)
Ho (0.798, 0.761, 0.105)
Er (0.738, 0.859, 0.500)
Ho (0.999, 0.159, 0.500)
Ho (0.593, 0.243, 0.714)
Pm (0.370, 0.931, 0.746)
Pm (0.630, 0.185, 0.254)
Ho (0.193, 0.156, 0.895)

***

# 5
A geometry-optimized VTeSe2Br structure, computed with PBE.

Values from the calculation:
Formation energy without anion corrections (eV per atom): 0.006

Lattice parameters (Å, degrees): 4.950 4.950 4.959 90.00 90.00 90.00
Fractional positions:
Se (0.500, 0.000, 0.000)
V (0.000, 0.000, 0.000)
Se (0.000, 0.500, 0.000)
Te (0.500, 0.500, 0.500)
Br (0.000, 0.000, 0.500)

***

# 6
A geometry-optimized CeTmSiAg structure, computed with PBE.

Values from the calculation:
Formation energy without anion corrections (eV per atom): -0.348

Lattice parameters (Å, degrees): 5.081 5.081 5.081 60.00 60.00 60.00
Fractional positions:
Ag (0.250, 0.250, 0.250)
Si (0.750, 0.750, 0.750)
Tm (0.500, 0.500, 0.500)
Ce (0.000, 0.000, 0.000)

***

# 7
A geometry-optimized Ac2CdGa2Pd5 structure, computed with PBE.

Values from the calculation:
Energy of formation (eV/atom): -0.62

Lattice parameters (Å, degrees): 3.749 10.513 10.513 90.00 90.00 90.00
Fractional positions:
Pd (0.500, 0.061, 0.785)
Pd (0.500, 0.785, 0.939)
Pd (0.500, 0.500, 0.000)
Ac (0.000, 0.820, 0.680)
Ga (0.000, 0.883, 0.383)
Ga (0.000, 0.117, 0.617)
Ac (0.000, 0.680, 0.180)
Ga (0.000, 0.383, 0.117)
Ac (0.000, 0.320, 0.820)
Ga (0.000, 0.617, 0.883)
Pd (0.500, 0.285, 0.561)
Pd (0.500, 0.939, 0.215)
Pd (0.500, 0.439, 0.285)
Cd (0.000, 0.500, 0.500)
Cd (0.000, 0.000, 0.000)
Pd (0.500, 0.715, 0.439)
Pd (0.500, 0.561, 0.715)
Pd (0.500, 0.000, 0.500)
Pd (0.500, 0.215, 0.061)
Ac (0.000, 0.180, 0.320)

***

# 8
A geometry-optimized LiGeRhO4 structure, computed with PBE.

Values from the calculation:
Formation energy without anion corrections (eV per atom): -1.492

Lattice parameters (Å, degrees): 5.996 5.996 5.996 121.56 118.48 89.99
Fractional positions:
Ge (0.500, 0.000, 0.000)
O (0.278, 0.744, 0.534)
Li (0.126, 0.876, 0.250)
O (0.722, 0.256, 0.466)
O (0.709, 0.744, 0.966)
Rh (0.000, 0.500, 0.500)
O (0.275, 0.292, 0.517)
O (0.725, 0.708, 0.483)
O (0.291, 0.256, 0.034)
Ge (0.500, 0.500, 0.500)
O (0.275, 0.758, 0.983)
O (0.725, 0.242, 0.017)
Li (0.874, 0.124, 0.750)
Rh (0.500, 0.500, 0.000)

***

# 9
A geometry-optimized KNaTlGa structure, computed with PBE.

Values from the calculation:
Energy of formation (eV/atom): -0.01

Lattice parameters (Å, degrees): 5.416 5.416 5.416 60.00 60.00 60.00
Fractional positions:
Ga (0.750, 0.750, 0.750)
K (0.000, 0.000, 0.000)
Na (0.250, 0.250, 0.250)
Tl (0.500, 0.500, 0.500)

***

# 10
A geometry-optimized Ca2ScGe3Pt4 structure, computed with PBE.

Values from the calculation:
Energy of formation (eV/atom): -0.91

Lattice parameters (Å, degrees): 4.187 4.187 11.182 90.00 90.00 90.00
Fractional positions:
Ca (0.000, 0.500, 0.763)
Pt (0.000, 0.500, 0.351)
Sc (0.500, 0.500, 0.500)
Ge (0.500, 0.000, 0.869)
Pt (0.500, 0.500, 0.000)
Ge (0.000, 0.500, 0.131)
Pt (0.000, 0.000, 0.000)
Pt (0.500, 0.000, 0.649)
Ca (0.500, 0.000, 0.237)
Ge (0.000, 0.000, 0.500)

***

# 11
A geometry-optimized Rb4AcLa3Te8 structure, computed with PBE.

Values from the calculation:
Formation energy without anion corrections (eV per atom): -1.491

Lattice parameters (Å, degrees): 9.553 10.183 9.553 118.00 120.00 90.00
Fractional positions:
Rb (0.500, 0.000, 0.500)
Te (0.270, 0.291, 0.031)
Rb (0.500, 0.000, 0.000)
Te (0.760, 0.291, 0.521)
Te (0.265, 0.295, 0.530)
Ac (0.000, 0.500, 0.000)
Rb (0.000, 0.000, 0.500)
Te (0.240, 0.709, 0.969)
Rb (0.000, 0.000, 0.000)
La (0.500, 0.500, 0.500)
La (0.000, 0.500, 0.500)
Te (0.760, 0.291, 0.031)
Te (0.730, 0.709, 0.969)
Te (0.735, 0.705, 0.470)
Te (0.240, 0.709, 0.479)
La (0.500, 0.500, 0.000)

***

# 12
A geometry-optimized TlHgW2 structure, computed with PBE.

Values from the calculation:
Energy of formation (eV/atom): 1.00

Lattice parameters (Å, degrees): 3.042 5.014 4.995 90.00 90.00 90.00
Fractional positions:
Tl (0.000, 0.500, 0.500)
W (0.500, 0.500, 0.000)
W (0.000, 0.000, 0.000)
Hg (0.500, 0.000, 0.500)